This record from Alexandria describes crystalline LuPuRhPb at its relaxed geometry. The functional is GGA-PBE.

Cell: 5.120 5.120 5.120 Å, 60.00 60.00 60.00°
Site moments in Bohr magnetons follow the coordinates.
Element x y z (fractional)
Pb: 0.000 0.000 0.000  -0.07
Lu: 0.250 0.250 0.250  0.03
Rh: 0.500 0.500 0.500  -0.33
Pu: 0.750 0.750 0.750  5.25

Properties
Its total DFT energy (no corrections) is -31.0 eV per formula unit. The density of states at the Fermi level comes out at 2.373 states/eV/atom. The formation energy comes out at -0.2694 eV/atom. Its symmetry is F-43m, No. 216.